# 1
This record from the Alexandria database describes a relaxed Li2CdCuCl6 crystal. The functional is PBE.

Results
The energy relative to the elements, uncorrected comes out at -1.15 eV per atom. As for the crystal system: monoclinic. The total magnetization is 1.0 μB/f.u.

Cell and atoms, written as CIF:
```
data_Li2CdCuCl6
_cell_length_a 12.7975
_cell_length_b 11.5711
_cell_length_c 6.5078
_cell_angle_alpha 90.00
_cell_angle_beta 102.61
_cell_angle_gamma 90.00
_space_group_name_H-M_alt 'C 1 2/c 1'
_space_group_IT_number 15
_space_group_name_Hall '-C 2yc'
loop_
_atom_site_label
_atom_site_fract_x
_atom_site_fract_y
_atom_site_fract_z
Li1 0.1853 0.0828 0.3039
Cd1 0.0000 0.4048 0.2500
Cu1 0.0000 0.1804 0.7500
Cl1 0.0989 0.2330 0.0737
Cl2 0.1217 0.4268 0.6187
Cl3 0.1421 0.1007 0.6403
```

***

# 2
This record from the Alexandria database describes a relaxed Cr2TeIr crystal. The functional is PBE.

Results
The energy relative to the elements, uncorrected comes out at 0.38 eV per atom. As for the crystal system: monoclinic. The total magnetization is 0.0 μB/f.u.

Cell and atoms, written as CIF:
```
data_Cr2TeIr
_cell_length_a 2.8906
_cell_length_b 3.9790
_cell_length_c 5.7292
_cell_angle_alpha 90.00
_cell_angle_beta 99.90
_cell_angle_gamma 90.00
_space_group_name_H-M_alt 'P 1 2/m 1'
_space_group_IT_number 10
_space_group_name_Hall '-P 2y'
loop_
_atom_site_label
_atom_site_fract_x
_atom_site_fract_y
_atom_site_fract_z
Cr1 0.0647 0.0000 0.1818
Te1 0.5000 0.5000 0.5000
Ir1 0.5000 0.5000 0.0000
```

***

# 3
This record from the Alexandria database describes a relaxed In2RhCl crystal. The functional is PBE.

Results
As for the distance to the lowest polymorph of the same formula: 0 meV/atom. The energy relative to the elements, uncorrected comes out at -0.47 eV per atom. As for the crystal system: monoclinic. The total magnetization is 0.0 μB/f.u.

Cell and atoms, written as CIF:
```
data_In2RhCl
_cell_length_a 15.9801
_cell_length_b 3.2810
_cell_length_c 3.2883
_cell_angle_alpha 90.00
_cell_angle_beta 90.06
_cell_angle_gamma 90.00
_space_group_name_H-M_alt 'C 1 m 1'
_space_group_IT_number 8
_space_group_name_Hall 'C -2y'
loop_
_atom_site_label
_atom_site_fract_x
_atom_site_fract_y
_atom_site_fract_z
In1 0.0000 0.0000 0.0000
In2 0.1962 0.0000 0.0011
Rh1 0.0990 0.5000 0.5005
Cl1 0.3570 0.0000 0.9996
```

***

# 4
This record from the Alexandria database describes a relaxed Sc6As3C crystal. The functional is PBE.

Results
As for the crystal system: orthorhombic. The total magnetization is 0.7 μB/f.u. As for the formation energy from the elements: -0.84 eV per atom.

Cell and atoms, written as CIF:
```
data_Sc6As3C
_cell_length_a 10.6661
_cell_length_b 12.3712
_cell_length_c 6.2971
_cell_angle_alpha 90.00
_cell_angle_beta 90.00
_cell_angle_gamma 90.00
_space_group_name_H-M_alt 'C m c 21'
_space_group_IT_number 36
_space_group_name_Hall 'C 2c -2'
loop_
_atom_site_label
_atom_site_fract_x
_atom_site_fract_y
_atom_site_fract_z
Sc1 0.0000 0.0109 0.0000
Sc2 0.0000 0.2270 0.5884
Sc3 0.1434 0.2439 0.1198
Sc4 0.1562 0.4684 0.5817
As1 0.0000 0.3877 0.8844
As2 0.1884 0.1091 0.7792
C1 0.0000 0.1458 0.2780
```

***

# 5
This record from the Alexandria database describes a relaxed SrZrPd2 crystal. The functional is PBE.

Results
As for the crystal system: tetragonal. The total magnetization is 0.0 μB/f.u. As for the formation energy from the elements: -0.60 eV per atom.

Cell and atoms, written as CIF:
```
data_SrZrPd2
_cell_length_a 3.4584
_cell_length_b 3.4584
_cell_length_c 7.5129
_cell_angle_alpha 90.00
_cell_angle_beta 90.00
_cell_angle_gamma 90.00
_space_group_name_H-M_alt 'P 4/m m m'
_space_group_IT_number 123
_space_group_name_Hall '-P 4 2'
loop_
_atom_site_label
_atom_site_fract_x
_atom_site_fract_y
_atom_site_fract_z
Sr1 0.0000 0.0000 0.0000
Zr1 0.0000 0.0000 0.5000
Pd1 0.5000 0.5000 0.3069
```

***

# 6
This record from the Alexandria database describes a relaxed PmPr3Se4 crystal. The functional is PBE.

Results
As for the distance to the lowest polymorph of the same formula: 0 meV/atom. The energy relative to the elements, uncorrected comes out at -1.84 eV per atom. As for the crystal system: monoclinic. The total magnetization is 0.0 μB/f.u.

Cell and atoms, written as CIF:
```
data_PmPr3Se4
_cell_length_a 7.3936
_cell_length_b 8.4152
_cell_length_c 7.3843
_cell_angle_alpha 90.00
_cell_angle_beta 109.25
_cell_angle_gamma 90.00
_space_group_name_H-M_alt 'P 1 2/c 1'
_space_group_IT_number 13
_space_group_name_Hall '-P 2yc'
loop_
_atom_site_label
_atom_site_fract_x
_atom_site_fract_y
_atom_site_fract_z
Pm1 0.0000 0.1252 0.2500
Pr1 0.0000 0.3754 0.7500
Pr2 0.5000 0.1255 0.7500
Pr3 0.5000 0.3757 0.2500
Se1 0.2461 0.1230 0.0002
Se2 0.2479 0.3727 0.4978
```

***

What is the formula in the fourth record?
Sc6As3C

***

What is the formula in the sixth record?
PmPr3Se4